Record 1
A plane-wave DFT calculation with PBE-GGA was carried out for an optimized crystal structure of UBeZn.

```
12
Lattice="6.238 0.000 0.000 0.000 6.238 0.000 0.000 0.000 6.238" Properties=species:S:1:pos:R:3 pbc="T T T"
U 0.000 0.000 0.000
U 0.000 3.119 3.119
U 3.119 0.000 3.119
U 3.119 3.119 0.000
Be 0.000 0.000 3.119
Be 0.000 3.119 0.000
Be 3.119 0.000 0.000
Be 3.119 3.119 3.119
Zn 1.559 1.559 1.559
Zn 1.559 4.678 4.678
Zn 4.678 1.559 4.678
Zn 4.678 4.678 1.559
```

Properties
- Total DFT energy (no corrections): -4.63 eV/atom
- ρ: 8.55 g cm⁻³

Record 2
A plane-wave DFT calculation with PBE-GGA was carried out for an optimized crystal structure of NdPuSb.

```
12
Lattice="7.154 0.000 0.000 0.000 7.154 0.000 0.000 0.000 7.154" Properties=species:S:1:pos:R:3 pbc="T T T"
Nd 0.000 0.000 0.000
Nd 0.000 3.577 3.577
Nd 3.577 0.000 3.577
Nd 3.577 3.577 0.000
Pu 1.788 1.788 1.788
Pu 1.788 5.365 5.365
Pu 5.365 1.788 5.365
Pu 5.365 5.365 1.788
Sb 0.000 0.000 3.577
Sb 0.000 3.577 0.000
Sb 3.577 0.000 0.000
Sb 3.577 3.577 3.577
```

Properties
- Total DFT energy (no corrections): -7.68 eV/atom
- ρ: 9.25 g cm⁻³

Record 3
A plane-wave DFT calculation with PBE-GGA was carried out for an optimized crystal structure of ZrTlAgSe3.

```
24
Lattice="10.806 0.000 0.000 0.000 3.931 0.000 0.000 0.000 14.517" Properties=species:S:1:pos:R:3 pbc="T T T"
Zr 0.344 0.983 3.559
Zr 5.059 2.948 10.817
Zr 5.746 0.983 3.700
Zr 10.462 2.948 10.959
Tl 2.616 2.948 0.020
Tl 2.786 0.983 7.279
Tl 8.019 2.948 7.238
Tl 8.189 0.983 14.497
Ag 2.657 0.983 11.709
Ag 2.746 2.948 4.450
Ag 8.060 0.983 10.067
Ag 8.149 2.948 2.809
Se 0.293 0.983 12.775
Se 0.365 2.948 5.477
Se 2.621 2.948 9.886
Se 2.781 0.983 2.627
Se 5.038 0.983 12.736
Se 5.109 2.948 5.516
Se 5.696 0.983 9.001
Se 5.768 2.948 1.782
Se 8.024 2.948 11.890
Se 8.184 0.983 4.631
Se 10.440 0.983 9.040
Se 10.512 2.948 1.743
```

Properties
- Total DFT energy (no corrections): -4.83 eV/atom
- ρ: 6.90 g cm⁻³

Record 4
A plane-wave DFT calculation with PBE-GGA was carried out for an optimized crystal structure of TbGeTe.

```
12
Lattice="7.082 0.000 0.000 0.000 7.082 0.000 0.000 0.000 7.082" Properties=species:S:1:pos:R:3 pbc="T T T"
Tb 0.000 0.000 0.000
Tb 0.000 3.541 3.541
Tb 3.541 0.000 3.541
Tb 3.541 3.541 0.000
Ge 0.000 0.000 3.541
Ge 0.000 3.541 0.000
Ge 3.541 0.000 0.000
Ge 3.541 3.541 3.541
Te 1.771 1.771 5.312
Te 1.771 5.312 1.771
Te 5.312 1.771 1.771
Te 5.312 5.312 5.312
```

Properties
- Total DFT energy (no corrections): -4.40 eV/atom
- ρ: 6.72 g cm⁻³

Record 5
A plane-wave DFT calculation with PBE-GGA was carried out for an optimized crystal structure of MgNbReSn.

```
16
Lattice="6.574 0.000 0.000 0.000 6.574 0.000 0.000 0.000 6.574" Properties=species:S:1:pos:R:3 pbc="T T T"
Mg 0.000 0.000 0.000
Mg 0.000 3.287 3.287
Mg 3.287 0.000 3.287
Mg 3.287 3.287 0.000
Nb 1.643 1.643 4.930
Nb 1.643 4.930 1.643
Nb 4.930 1.643 1.643
Nb 4.930 4.930 4.930
Re 1.643 1.643 1.643
Re 1.643 4.930 4.930
Re 4.930 1.643 4.930
Re 4.930 4.930 1.643
Sn 0.000 0.000 3.287
Sn 0.000 3.287 0.000
Sn 3.287 0.000 0.000
Sn 3.287 3.287 3.287
```

Properties
- Total DFT energy (no corrections): -6.55 eV/atom
- ρ: 9.87 g cm⁻³

Record 6
A plane-wave DFT calculation with PBE-GGA was carried out for an optimized crystal structure of PuAl.

```
4
Lattice="5.161 0.000 0.000 -2.580 4.469 0.000 0.000 0.000 6.008" Properties=species:S:1:pos:R:3 pbc="T T T"
Pu 0.000 2.980 0.000
Pu 2.580 1.490 3.004
Al 0.000 2.980 2.997
Al 2.580 1.490 6.001
```

Properties
- Total DFT energy (no corrections): -8.10 eV/atom
- ρ: 6.49 g cm⁻³

Record 7
A plane-wave DFT calculation with PBE-GGA was carried out for an optimized crystal structure of NaAcTc.

```
12
Lattice="7.037 0.000 0.000 0.000 7.037 0.000 0.000 0.000 7.037" Properties=species:S:1:pos:R:3 pbc="T T T"
Na 0.000 0.000 0.000
Na 0.000 3.519 3.519
Na 3.519 0.000 3.519
Na 3.519 3.519 0.000
Ac 1.759 1.759 1.759
Ac 1.759 5.278 5.278
Ac 5.278 1.759 5.278
Ac 5.278 5.278 1.759
Tc 0.000 0.000 3.519
Tc 0.000 3.519 0.000
Tc 3.519 0.000 0.000
Tc 3.519 3.519 3.519
```

Properties
- Total DFT energy (no corrections): -3.93 eV/atom
- ρ: 6.63 g cm⁻³

Record 8
A plane-wave DFT calculation with PBE-GGA was carried out for an optimized crystal structure of NaCoBi.

```
12
Lattice="6.601 0.000 0.000 0.000 6.601 0.000 0.000 0.000 6.601" Properties=species:S:1:pos:R:3 pbc="T T T"
Na 0.000 0.000 0.000
Na 0.000 3.300 3.300
Na 3.300 0.000 3.300
Na 3.300 3.300 0.000
Co 1.650 1.650 1.650
Co 1.650 4.950 4.950
Co 4.950 1.650 4.950
Co 4.950 4.950 1.650
Bi 1.650 1.650 4.950
Bi 1.650 4.950 1.650
Bi 4.950 1.650 1.650
Bi 4.950 4.950 4.950
```

Properties
- Total DFT energy (no corrections): -3.25 eV/atom
- ρ: 6.72 g cm⁻³